<i>
A relaxed Al2PC crystal, computed with PBE.

Unit cell a=5.167 b=5.167 c=9.573 alpha=90.00 beta=90.00 gamma=90.00
Space group I-42d (No. 122)
Unique sites:
1 Al 0.177 0.250 0.125 x8
2 P 0.000 0.000 0.500 x4
3 C 0.000 0.000 0.000 x4

Summary:
D(E_F), states/eV/atom: 0.63



<ii>
A relaxed Al2PC crystal, computed with PBE.

Unit cell a=5.890 b=5.890 c=5.890 alpha=90.00 beta=90.00 gamma=90.00
Space group Fm-3m (No. 225)
Unique sites:
1 Al 0.250 0.250 0.250 x8
2 P 0.000 0.000 0.000 x4
3 C 0.000 0.000 0.500 x4

Summary:
D(E_F), states/eV/atom: 0.45



Quick one: most stable of them? <i>



<i>
A relaxed AlP3C crystal, computed with PBE.

Unit cell a=4.563 b=4.563 c=4.563 alpha=90.00 beta=90.00 gamma=90.00
Space group Pm-3m (No. 221)
Unique sites:
1 Al 0.000 0.000 0.000 x1
2 P 0.000 0.000 0.500 x3
3 C 0.500 0.500 0.500 x1

Summary:
D(E_F), states/eV/atom: 0.76



<ii>
A relaxed AlP3C crystal, computed with PBE.

Unit cell a=4.064 b=4.064 c=4.064 alpha=90.00 beta=90.00 gamma=90.00
Space group Pm-3m (No. 221)
Unique sites:
1 Al 0.000 0.000 0.000 x1
2 P 0.000 0.500 0.500 x3
3 C 0.500 0.500 0.500 x1

Summary:
D(E_F), states/eV/atom: 0.63



Quick one: most stable of them? <ii>



<i>
A relaxed AlPC2 crystal, computed with PBE.

Unit cell a=4.483 b=4.483 c=8.473 alpha=90.00 beta=90.00 gamma=90.00
Space group I-42d (No. 122)
Unique sites:
1 Al 0.000 0.000 0.000 x4
2 P 0.000 0.000 0.500 x4
3 C 0.208 0.250 0.625 x8

Summary:
D(E_F), states/eV/atom: 0.00



<ii>
A relaxed AlPC2 crystal, computed with PBE.

Unit cell a=5.394 b=5.394 c=5.394 alpha=90.00 beta=90.00 gamma=90.00
Space group Fm-3m (No. 225)
Unique sites:
1 Al 0.000 0.000 0.000 x4
2 P 0.000 0.000 0.500 x4
3 C 0.250 0.250 0.250 x8

Summary:
D(E_F), states/eV/atom: 0.43



Quick one: most stable of them? <i>



<i>
A relaxed AlPC3 crystal, computed with PBE.

Unit cell a=3.651 b=3.651 c=3.651 alpha=90.00 beta=90.00 gamma=90.00
Space group Pm-3m (No. 221)
Unique sites:
1 Al 0.000 0.000 0.000 x1
2 P 0.500 0.500 0.500 x1
3 C 0.000 0.500 0.500 x3

Summary:
D(E_F), states/eV/atom: 0.44



<ii>
A relaxed AlPC3 crystal, computed with PBE.

Unit cell a=3.933 b=3.933 c=3.933 alpha=90.00 beta=90.00 gamma=90.00
Space group Pm-3m (No. 221)
Unique sites:
1 Al 0.000 0.000 0.000 x1
2 P 0.500 0.500 0.500 x1
3 C 0.000 0.000 0.500 x3

Summary:
D(E_F), states/eV/atom: 0.45



Quick one: most stable of them? <i>



<i>
A relaxed AlPb3C crystal, computed with PBE.

Unit cell a=5.037 b=5.037 c=5.037 alpha=90.00 beta=90.00 gamma=90.00
Space group Pm-3m (No. 221)
Unique sites:
1 Al 0.000 0.000 0.000 x1
2 Pb 0.000 0.500 0.500 x3
3 C 0.500 0.500 0.500 x1

Summary:
D(E_F), states/eV/atom: 0.67



<ii>
A relaxed AlPb3C crystal, computed with PBE.

Unit cell a=5.415 b=5.415 c=5.415 alpha=90.00 beta=90.00 gamma=90.00
Space group Pm-3m (No. 221)
Unique sites:
1 Al 0.000 0.000 0.000 x1
2 Pb 0.000 0.000 0.500 x3
3 C 0.500 0.500 0.500 x1

Summary:
D(E_F), states/eV/atom: 0.40



Quick one: most stable of them? <i>



<i>
A relaxed AlSbPb2C crystal, computed with PBE.

Unit cell a=6.049 b=6.049 c=4.101 alpha=90.00 beta=90.00 gamma=90.00
Space group P4/mmm (No. 123)
Unique sites:
1 Al 0.000 0.000 0.000 x1
2 Sb 0.500 0.500 0.500 x1
3 Pb 0.000 0.500 0.500 x2
4 C 0.500 0.500 0.000 x1

Summary:
D(E_F), states/eV/atom: 0.62



<ii>
A relaxed AlSbPb2C crystal, computed with PBE.

Unit cell a=5.741 b=5.741 c=3.702 alpha=90.00 beta=90.00 gamma=90.00
Space group P4/mmm (No. 123)
Unique sites:
1 Al 0.000 0.000 0.000 x1
2 Sb 0.500 0.500 0.000 x1
3 Pb 0.000 0.500 0.500 x2
4 C 0.000 0.000 0.500 x1

Summary:
D(E_F), states/eV/atom: 0.29



Quick one: most stable of them? <ii>